CuTe2I2 | PBE | optimized geometry

Its formation energy (no corrections) is 13 meV per atom. The density of states at the Fermi level comes out at 0.473 states/eV/atom. The value obtained for the relative energy among the computed polymorphs is 0.000 eV/atom. The density is 4.9 g cm⁻³.

It has space group C2/c (No. 15), with a = 13.771 Å, b = 8.711 Å, c = 7.954 Å, α = 90.00°, β = 125.03° and γ = 90.00°. The inequivalent atoms are Cu at (0.000, 0.004, 0.250), Te at (0.091, 0.142, 0.088) and I at (0.157, 0.378, 0.659).